DFT (PBEsol) results for a relaxed InAuN2 crystal.

Summary:
Formation energy (no corrections)   0.744 eV/atom
DOS at the Fermi energy   8.05 states/eV/cell
Total DFT energy (no corrections)   -63.0 eV for the cell shown

Unit cell a=3.3097 b=3.3097 c=18.5419 alpha=90.00 beta=90.00 gamma=120.00
Space group R-3m (No. 166, hexagonal axes)
Unique sites:
1 In 0.0000 0.0000 0.0000 x3
2 Au 0.0000 0.0000 0.5000 x3
3 N 0.0000 0.0000 0.3964 x6

---

DFT (PBEsol) results for a relaxed InAuN2 crystal.

Summary:
Formation energy (no corrections)   0.956 eV/atom
DOS at the Fermi energy   3.54 states/eV/cell
Total DFT energy (no corrections)   -60.4 eV for the cell shown

Unit cell a=3.2021 b=3.2021 c=19.3666 alpha=90.00 beta=90.00 gamma=120.00
Space group R-3m (No. 166, hexagonal axes)
Unique sites:
1 In 0.0000 0.0000 0.0000 x3
2 Au 0.0000 0.0000 0.5000 x3
3 N 0.0000 0.0000 0.1153 x6